Here is an optimized crystal structure of Sr2CrO3 from Alexandria via LeMat-Bulk. Energies are from GGA+U.

## Properties
The calculated total energy comes out at -6.541 eV per atom. For the total magnetization, the calculation gives 4.00 μB/f.u.

POSCAR file:
```
Sr2CrO3
1.0
5.309 0.000 0.587
2.654 5.622 0.294
0.339 0.000 12.945
Sr Cr O
8 4 12
direct
0.584 0.410 0.361
0.007 0.410 0.139
0.416 0.590 0.639
0.993 0.590 0.861
0.351 0.786 0.069
0.863 0.786 0.431
0.649 0.214 0.931
0.137 0.214 0.569
0.707 0.011 0.164
0.282 0.011 0.336
0.293 0.989 0.836
0.718 0.989 0.664
0.624 0.753 0.250
0.376 0.247 0.750
0.529 0.356 0.115
0.115 0.356 0.385
0.471 0.644 0.885
0.885 0.644 0.615
0.636 0.191 0.532
0.173 0.191 0.968
0.364 0.809 0.468
0.827 0.809 0.032
0.966 0.069 0.250
0.034 0.931 0.750
```